An optimized crystal structure of Sc3CuTe. Source: the Alexandria database, functional PBE.

a = 4.9491 Å, b = 4.9491 Å, c = 4.9491 Å
α = 90.00°, β = 90.00°, γ = 90.00°
With the nearest neighbours (Å) after each atom.
Sites, in units of the cell vectors:
Sc 0.0000 0.0000 0.5000  2 Cu 2.47
Sc 0.0000 0.5000 0.0000  2 Cu 2.47
Sc 0.5000 0.0000 0.0000  2 Cu 2.47
Cu 0.0000 0.0000 0.0000  6 Sc 2.47
Te 0.5000 0.5000 0.5000  12 Sc 3.50

Properties
The value obtained for the uncorrected formation energy is -0.220 eV per atom. Its total energy is -27.33 eV for the cell shown. Its energy above the lowest structure with this stoichiometry is 282 meV/atom.